1.
BaTcHg4: optimized geometry, GGA-PBE.

abc: 6.0371 6.0371 6.0371
angles: 60.00 60.00 60.00
With the nearest neighbours (Å) after each atom.
Sites, in units of the cell vectors:
Hg: 0.3762 0.3762 0.3762  6 Hg 2.99-3.05
Hg: 0.3762 0.8714 0.3762  6 Hg 2.99-3.05
Hg: 0.8714 0.3762 0.3762  6 Hg 2.99-3.05
Hg: 0.3762 0.3762 0.8714  6 Hg 2.99-3.05
Tc: 0.7500 0.7500 0.7500  12 Hg 3.54, 4 Ba 3.70
Ba: 0.0000 0.0000 0.0000  12 Hg 3.54, 4 Tc 3.70

Output
DFT formation energy = 2.13 eV per formula unit
SG = F-43m (216)

2.
Bi12Pd6Pt: optimized geometry, GGA-PBE.

abc: 8.2304 8.2304 8.2304
angles: 100.20 100.20 100.20
With the nearest neighbours (Å) after each atom.
Sites, in units of the cell vectors:
Bi: 0.6752 0.9406 0.0752  3 Pd 2.81-3.07, 1 Pt 2.83
Bi: 0.9406 0.0752 0.6752  3 Pd 2.81-3.07, 1 Pt 2.83
Bi: 0.0752 0.6752 0.9406  3 Pd 2.81-3.07, 1 Pt 2.83
Bi: 0.3248 0.0594 0.9248  3 Pd 2.81-3.07, 1 Pt 2.83
Bi: 0.8213 0.5611 0.4188  4 Pd 2.84-2.95
Bi: 0.4188 0.8213 0.5611  4 Pd 2.84-2.95
Bi: 0.0594 0.9248 0.3248  3 Pd 2.81-3.07, 1 Pt 2.83
Bi: 0.9248 0.3248 0.0594  3 Pd 2.81-3.07, 1 Pt 2.83
Bi: 0.5812 0.1787 0.4389  4 Pd 2.84-2.95
Bi: 0.1787 0.4389 0.5812  4 Pd 2.84-2.95
Bi: 0.4389 0.5812 0.1787  4 Pd 2.84-2.95
Bi: 0.5611 0.4188 0.8213  4 Pd 2.84-2.95
Pd: 0.1392 0.6040 0.2980  7 Bi 2.81-3.07
Pd: 0.6040 0.2980 0.1392  7 Bi 2.81-3.07
Pd: 0.3960 0.7020 0.8608  7 Bi 2.81-3.07
Pd: 0.2980 0.1392 0.6040  7 Bi 2.81-3.07
Pd: 0.7020 0.8608 0.3960  7 Bi 2.81-3.07
Pd: 0.8608 0.3960 0.7020  7 Bi 2.81-3.07
Pt: 0.0000 0.0000 0.0000  6 Bi 2.83

Output
DFT formation energy = -3.93 eV per formula unit
SG = R-3 (148)

3.
TlAgTe2: optimized geometry, GGA-PBE.

abc: 19.6778 7.9213 7.9213
angles: 82.79 110.79 69.21
With the nearest neighbours (Å) after each atom.
Sites, in units of the cell vectors:
Tl: 0.1490 0.7003 0.4678  3 Te 3.27-3.49, 1 Tl 3.43, 1 Ag 3.66
Tl: 0.5920 0.4862 0.5550  3 Te 3.21-3.39, 2 Tl 3.33-3.43
Tl: 0.9080 0.0550 0.9862  3 Te 3.21-3.39, 2 Tl 3.33-3.43
Tl: 0.0920 0.9450 0.0138  3 Te 3.21-3.39, 2 Tl 3.33-3.43
Tl: 0.4080 0.5138 0.4450  3 Te 3.21-3.39, 2 Tl 3.33-3.43
Tl: 0.8510 0.2997 0.5322  3 Te 3.27-3.49, 1 Tl 3.43, 1 Ag 3.66
Tl: 0.3510 0.9678 0.2003  3 Te 3.27-3.49, 1 Tl 3.43, 1 Ag 3.66
Tl: 0.6490 0.0322 0.7997  3 Te 3.27-3.49, 1 Tl 3.43, 1 Ag 3.66
Te: 0.9924 0.1665 0.3848  1 Ag 2.76, 1 Te 2.87
Te: 0.0076 0.8335 0.6152  1 Ag 2.76, 1 Te 2.87
Te: 0.7427 0.5724 0.7833  1 Ag 2.82, 1 Te 2.88
Te: 0.4692 0.3237 0.8849  3 Ag 2.81-2.86
Te: 0.7500 0.7040 0.2040  2 Ag 2.78, 1 Te 3.07
Te: 0.2573 0.4276 0.2167  1 Ag 2.82, 1 Te 2.88
Te: 0.2427 0.7167 0.9276  1 Ag 2.82, 1 Te 2.88
Te: 0.7500 0.9623 0.4623  4 Ag 2.85-3.05, 1 Te 3.07
Te: 0.9692 0.6151 0.1763  3 Ag 2.81-2.86
Te: 0.2500 0.2960 0.7960  2 Ag 2.78, 1 Te 3.07
Te: 0.0308 0.3849 0.8237  3 Ag 2.81-2.86
Te: 0.5076 0.8848 0.6665  1 Ag 2.76, 1 Te 2.87
Te: 0.2500 0.0377 0.5377  4 Ag 2.85-3.05, 1 Te 3.07
Te: 0.7573 0.2833 0.0724  1 Ag 2.82, 1 Te 2.88
Te: 0.4924 0.1152 0.3335  1 Ag 2.76, 1 Te 2.87
Te: 0.5308 0.6763 0.1151  3 Ag 2.81-2.86
Ag: 0.3789 0.6958 0.8702  4 Te 2.81-3.05
Ag: 0.1211 0.3702 0.1958  4 Te 2.81-3.05
Ag: 0.3798 0.1318 0.7123  4 Te 2.76-2.85
Ag: 0.8798 0.7877 0.3682  4 Te 2.76-2.85
Ag: 0.6211 0.3042 0.1298  4 Te 2.81-3.05
Ag: 0.6202 0.8682 0.2877  4 Te 2.76-2.85
Ag: 0.8789 0.6298 0.8042  4 Te 2.81-3.05
Ag: 0.1202 0.2123 0.6318  4 Te 2.76-2.85

Output
raw formation energy = -0.067 eV/atom
SG = C2/c (15)

4.
LaCuAs2: optimized geometry, GGA-PBE.

abc: 3.8240 3.8240 6.6717
angles: 90.00 90.00 112.84
With the nearest neighbours (Å) after each atom.
Sites, in units of the cell vectors:
La: 0.5000 0.5000 0.7500  4 As 2.92
Cu: 0.5000 0.5000 0.2500  4 As 2.50
As: 0.0000 0.0000 0.0511  2 Cu 2.50, 1 As 2.65
As: 0.0000 0.0000 0.4489  2 Cu 2.50, 1 As 2.65

Output
DFT formation energy = -1.79 eV per formula unit
SG = Cmmm (65)

5.
IrBr: optimized geometry, GGA-PBE.

abc: 5.9187 3.7492 8.5570
angles: 90.00 92.84 90.00
With the nearest neighbours (Å) after each atom.
Sites, in units of the cell vectors:
Ir: 0.6020 0.0000 0.2125  3 Br 2.61-2.63, 5 Ir 2.62-2.85
Ir: 0.4726 0.5000 0.4018  5 Ir 2.53-2.65, 2 Br 2.54
Ir: 0.1758 0.0000 0.3171  2 Br 2.41-2.60, 4 Ir 2.56-2.65
Ir: 0.8963 0.5000 0.3709  1 Br 2.40, 3 Ir 2.53-2.56
Br: 0.4926 0.5000 0.0109  2 Ir 2.61
Br: 0.3890 0.0000 0.5900  3 Ir 2.54-2.60
Br: 0.9798 0.0000 0.0629  2 Ir 2.41-2.63
Br: 0.9244 0.5000 0.6521  1 Ir 2.40

Output
energy above the most stable polymorph in this dataset = 26 meV per atom
raw formation energy = 0.292 eV/atom
SG = Pm (6)

6.
SrHg2W: optimized geometry, GGA-PBE.

abc: 5.2976 5.2976 3.1868
angles: 90.00 90.00 90.00
With the nearest neighbours (Å) after each atom.
Sites, in units of the cell vectors:
Sr: 0.5000 0.0000 0.5000  8 Hg 3.09, 2 Sr 3.19
Hg: 0.5000 0.5000 0.0000  4 Sr 3.09, 4 W 3.09, 2 Hg 3.19
Hg: 0.0000 0.0000 0.0000  4 W 3.09, 4 Sr 3.09, 2 Hg 3.19
W: 0.0000 0.5000 0.5000  8 Hg 3.09, 2 W 3.19

Output
energy above the most stable polymorph in this dataset = 111 meV per atom
DFT formation energy = 2.56 eV per formula unit
SG = P4/mmm (123)

7.
LaHo2Au: optimized geometry, GGA-PBE.

abc: 3.7947 3.7947 10.1440
angles: 79.22 79.22 60.00
With the nearest neighbours (Å) after each atom.
Sites, in units of the cell vectors:
Au: 0.6657 0.6657 0.0030  6 Ho 2.92-2.95
La: 0.5017 0.5017 0.4948  6 Ho 3.66-3.76, 6 La 3.79
Ho: 0.2671 0.2671 0.1986  3 Au 2.92
Ho: 0.0655 0.0655 0.8036  3 Au 2.95

Output
energy above the most stable polymorph in this dataset = 138 meV per atom
DFT formation energy = -1.16 eV per formula unit
SG = R3m (160)

8.
K5Rb5O: optimized geometry, GGA-PBE.

abc: 5.3238 5.8361 25.9669
angles: 96.42 95.88 90.00
With the nearest neighbours (Å) after each atom.
Sites, in units of the cell vectors:
K: 0.9497 0.9509 0.8993  1 O 2.58
K: 0.0503 0.0491 0.1007  1 O 2.58
K: 0.2271 0.7248 0.4542  4 K 4.58-4.62, 5 Rb 4.76-5.03
K: 0.5000 0.0000 0.0000  2 O 2.66
K: 0.7729 0.2752 0.5458  4 K 4.58-4.62, 5 Rb 4.76-5.03
O: 0.0000 0.0000 0.0000  4 K 2.58-2.66
Rb: 0.0000 0.5000 0.0000  2 O 2.92
Rb: 0.6021 0.5988 0.2043  2 Rb 4.74-4.75, 4 K 4.75-4.77
Rb: 0.6750 0.1694 0.3499  2 Rb 4.74-4.75, 5 K 4.76-5.03
Rb: 0.3979 0.4012 0.7957  2 Rb 4.74-4.75, 4 K 4.75-4.77
Rb: 0.3250 0.8306 0.6501  2 Rb 4.74-4.75, 5 K 4.76-5.03

Output
raw formation energy = -0.246 eV/atom
SG = C2/m (12)